Compound: Cr2FeNF
Source: the Alexandria database
Functional: GGA+U
Structure: optimized geometry

The structure in extended XYZ format:
```
5
Lattice="-3.410 2.957 1.975 -2.210 -0.670 -2.811 -1.922 -3.835 2.423" Properties=species:S:1:pos:R:3 pbc="T T T"
Cr -0.961 -1.917 1.212
Cr -1.705 1.478 0.988
N -3.770 -0.774 0.794
Fe 0.000 0.000 0.000
F -1.105 -0.335 -1.406
```

## Properties
**Mass density**: 3.63 g/cm3
**Energy**: -4.94 eV per atom
**Total moment**: 10.000 μB/f.u.